# PBE with a Hubbard U MnAsI2O, optimized geometry
# Symmetry ... P4/mmm
# Calculated volume ... 24.4 Å³/atom
# Fermi-level density of states ... 4.4 states/eV per cell
# Offset from the most stable computed form ... 0 meV/atom
# Density ... 5.441 g cm⁻³
# Crystal system ... tetragonal
# Calculated total energy ... -4.098 eV per atom
# Total magnetic moment ... 4.1 μB per cell
data_MnAsI2O
_cell_length_a 5.734
_cell_length_b 5.734
_cell_length_c 3.710
_cell_angle_alpha 90.00
_cell_angle_beta 90.00
_cell_angle_gamma 90.00
_symmetry_space_group_name_H-M 'P 1'
_symmetry_Int_Tables_number 1
_symmetry_space_group_name_Hall 'P 1'
loop_
_atom_site_label
_atom_site_fract_x
_atom_site_fract_y
_atom_site_fract_z
I1 0.000 0.500 0.000
I2 0.500 0.000 0.000
As1 0.500 0.500 0.500
Mn1 0.000 0.000 0.000
O1 0.000 0.000 0.500